Material: Ac2Cr2AgN6
Method: DFT, PBE
State: optimized geometry

Total magnetic moment, μB per formula unit: 1.01
Uncorrected energy, eV per atom: -7.939
ΔE_f (raw), eV per formula unit: -7.06

```
Ac2Cr2AgN6
1.0
5.498 0.000 0.000
-2.224 5.726 0.000
-2.512 -1.982 6.206
Ac Cr Ag N
2 2 1 6
Cartesian
-0.809 0.610 1.827
1.572 3.134 4.379
-0.468 4.312 1.945
1.231 -0.568 4.261
1.637 2.863 0.000
-1.949 4.159 2.996
-0.921 5.271 0.651
0.433 2.837 1.728
0.329 0.906 4.478
1.684 -1.527 5.555
2.711 -0.415 3.210
```